First-principles (PBE) data for SrEuGa after structural relaxation, as listed in Alexandria via LeMat-Bulk.

Values from the calculation:
**Energy**: -5.131 eV/atom
**Energy above the most stable polymorph in this dataset**: 165 meV per atom
**DOS at the Fermi energy**: 8.79 states/eV per cell
**Space group**: P3m1

The structure in extended XYZ format:
```
3
Lattice="4.1823 0.0000 0.0000 0.0000 5.3644 0.0000 0.0000 -2.6822 4.6457" Properties=species:S:1:pos:R:3 pbc="T T T"
Eu 0.4397 0.0000 0.0000
Sr 2.6414 2.6822 1.5486
Ga 1.1012 0.0000 3.0971
```